## MgGa4Cu15 (PBE)

Data for a relaxed structure of MgGa4Cu15.

Volume in Å³ per atom: 12.803
Fermi-level density of states in states/eV/atom: 0.144
Space-group type: P4/mmm, No. 123
Energy relative to the elements in eV/f.u.: -1.94

abc: 3.793 3.793 17.802
angles: 90.00 90.00 90.00
Sites, in units of the cell vectors:
Mg 0.000 0.000 0.000
Ga 0.000 0.000 0.202
Ga 0.000 0.000 0.401
Ga 0.000 0.000 0.599
Ga 0.000 0.000 0.798
Cu 0.000 0.500 0.104
Cu 0.000 0.500 0.302
Cu 0.000 0.500 0.500
Cu 0.000 0.500 0.698
Cu 0.000 0.500 0.896
Cu 0.500 0.000 0.104
Cu 0.500 0.000 0.302
Cu 0.500 0.000 0.500
Cu 0.500 0.000 0.698
Cu 0.500 0.000 0.896
Cu 0.500 0.500 0.000
Cu 0.500 0.500 0.204
Cu 0.500 0.500 0.401
Cu 0.500 0.500 0.599
Cu 0.500 0.500 0.796